# Mn2TcP | Alexandria via LeMat-Bulk | PBE-GGA | optimized geometry
data_Mn2TcP
_chemical_formula_sum 'Mn2 Tc1 P1'
_cell_length_a 2.739
_cell_length_b 2.739
_cell_length_c 6.196
_cell_angle_alpha 90.00
_cell_angle_beta 90.00
_cell_angle_gamma 90.00
_space_group_name_H-M_alt 'P 1'
_space_group_IT_number 1
loop_
_space_group_symop_operation_xyz
'x,y,z'
loop_
_atom_site_label
_atom_site_fract_x
_atom_site_fract_y
_atom_site_fract_z
_atom_site_occupancy
Mn1 0.000 0.000 0.214 1
Mn2 0.000 0.000 0.786 1
Tc1 0.500 0.500 0.500 1
P1 0.500 0.500 0.000 1
# - Distance to the lowest polymorph of the same formula: 0.23 eV/f.u.
# - Energy: -0.641 Ry per atom
# - N(E_F): 4.10 states/eV per cell
# - Crystal system: tetragonal
# - SG: P4/mmm, No. 123
# - Calculated volume: 46.5 Å³/f.u.
# - ΔH_f (0 K): -0.20 eV per atom

---

# Ca3Nd3MgTe8 | Alexandria via LeMat-Bulk | PBE-GGA | optimized geometry
data_Ca3Nd3MgTe8
_chemical_formula_sum 'Ca3 Nd3 Mg1 Te8'
_cell_length_a 9.014
_cell_length_b 9.014
_cell_length_c 9.014
_cell_angle_alpha 59.41
_cell_angle_beta 59.41
_cell_angle_gamma 59.41
_space_group_name_H-M_alt 'P 1'
_space_group_IT_number 1
loop_
_space_group_symop_operation_xyz
'x,y,z'
loop_
_atom_site_label
_atom_site_fract_x
_atom_site_fract_y
_atom_site_fract_z
_atom_site_occupancy
Ca1 0.000 0.500 0.500 1
Ca2 0.500 0.000 0.500 1
Ca3 0.500 0.500 0.000 1
Nd1 0.000 0.000 0.500 1
Nd2 0.000 0.500 0.000 1
Nd3 0.500 0.000 0.000 1
Mg1 0.500 0.500 0.500 1
Te1 0.251 0.251 0.251 1
Te2 0.259 0.259 0.741 1
Te3 0.259 0.741 0.259 1
Te4 0.259 0.741 0.741 1
Te5 0.741 0.259 0.259 1
Te6 0.741 0.259 0.741 1
Te7 0.741 0.741 0.259 1
Te8 0.749 0.749 0.749 1
# - Energy: -0.334 Ry per atom
# - Uncorrected formation energy: -1.4151 eV/atom
# - N(E_F): 4.17 states/eV per cell
# - Crystal system: trigonal
# - SG: R-3m, No. 166
# - Calculated volume: 510.9 Å³/f.u.

---

# KB2Os | Alexandria via LeMat-Bulk | PBE-GGA | optimized geometry
data_KB2Os
_chemical_formula_sum 'K2 B4 Os2'
_cell_length_a 6.402
_cell_length_b 6.402
_cell_length_c 6.402
_cell_angle_alpha 60.00
_cell_angle_beta 60.00
_cell_angle_gamma 60.00
_space_group_name_H-M_alt 'P 1'
_space_group_IT_number 1
loop_
_space_group_symop_operation_xyz
'x,y,z'
loop_
_atom_site_label
_atom_site_fract_x
_atom_site_fract_y
_atom_site_fract_z
_atom_site_occupancy
K1 0.125 0.125 0.125 1
K2 0.875 0.875 0.875 1
B1 0.000 0.500 0.500 1
B2 0.500 0.000 0.500 1
B3 0.500 0.500 0.000 1
B4 0.500 0.500 0.500 1
Os1 0.375 0.375 0.375 1
Os2 0.625 0.625 0.625 1
# - Distance to the lowest polymorph of the same formula: 0.00 eV/f.u.
# - Energy: -0.445 Ry per atom
# - N(E_F): 1.84 states/eV per cell
# - Crystal system: cubic
# - SG: Fd-3m, No. 227
# - Calculated volume: 92.8 Å³/f.u.
# - ΔH_f (0 K): 0.36 eV per atom

---

> The lowest calculated volume belongs to which entry?

Mn2TcP